First-principles (GGA-PBE) data for a relaxed AcSmAl crystal, as listed in Alexandria via LeMat-Bulk.

Unit cell a=5.319 b=5.319 c=5.319 alpha=60.00 beta=60.00 gamma=60.00
Fractional positions:
Ac: 0.000 0.000 0.000
Sm: 0.500 0.500 0.500
Al: 0.250 0.250 0.250

Calculated values
Its relative energy among the computed polymorphs is 148 meV/atom. The value obtained for the formation energy from the elements is 0.0 kJ per mole of atoms.